Entry 1:
BaInRh2 | GGA-PBE | optimized geometry

a = 5.9593 Å, b = 5.9593 Å, c = 5.9593 Å
α = 139.95°, β = 139.95°, γ = 57.94°
Closest atoms and distances in Å follow each position.
Fractional coordinates of all 4 atoms:
Ba: 0.0000 0.0000 0.0000  4 Rh 2.89
In: 0.2500 0.7500 0.5000  4 Rh 2.89
Rh: 0.5000 0.5000 0.0000  4 Ba 2.89
Rh: 0.7500 0.2500 0.5000  4 In 2.89

Calculated values
calculated density: 8.755 g cm⁻³
Fermi-level density of states: 5.3 states/eV/f.u.
spin magnetization: 0.00 μB per atom
electronic total energy: -0.17322 hartree per atom
energy of formation from the pure elements: 0.128 eV per atom

Entry 2:
FePC | GGA-PBE | optimized geometry

a = 2.7581 Å, b = 4.2835 Å, c = 4.2835 Å
α = 39.47°, β = 90.00°, γ = 90.00°
Closest atoms and distances in Å follow each position.
Fractional coordinates of all 3 atoms:
Fe: 0.0000 0.0000 0.0000  4 C 2.10, 3 P 2.20-2.33
P: 0.0000 0.7269 0.7269  2 C 1.83
C: 0.5000 0.5782 0.5782  2 P 1.83

Calculated values
relative energy among the computed polymorphs: 288 meV per atom
calculated density: 5.101 g cm⁻³
Fermi-level density of states: 0.4 states/eV/f.u.
spin magnetization: 0.35 μB per atom
electronic total energy: -0.26749 hartree per atom
energy of formation from the pure elements: 0.420 eV per atom

Entry 3:
NdIO5 | GGA-PBE | optimized geometry

a = 5.6338 Å, b = 5.6338 Å, c = 7.7967 Å
α = 110.27°, β = 110.27°, γ = 71.68°
Closest atoms and distances in Å follow each position.
Fractional coordinates of all 14 atoms:
Nd: 0.0401 0.9599 0.7500  7 O 2.31-2.50
Nd: 0.9599 0.0401 0.2500  7 O 2.31-2.50
I: 0.5000 0.5000 0.0000  6 O 1.83-2.02
I: 0.5000 0.5000 0.5000  6 O 1.83-2.02
O: 0.2073 0.7756 0.0274  1 I 1.89
O: 0.2244 0.7927 0.4726  1 I 1.89
O: 0.2664 0.2908 0.3871  1 I 1.83
O: 0.2908 0.2664 0.8871  1 I 1.83
O: 0.4192 0.5808 0.7500  2 I 2.02
O: 0.5808 0.4192 0.2500  2 I 2.02
O: 0.7092 0.7336 0.1129  1 I 1.83
O: 0.7336 0.7092 0.6129  1 I 1.83
O: 0.7756 0.2073 0.5274  1 I 1.89
O: 0.7927 0.2244 0.9726  1 I 1.89

Calculated values
ΔE_f (raw): -1.398 eV per atom
calculated density: 5.491 g cm⁻³
spin magnetization: 0.00 μB per atom
electronic total energy: -0.21471 hartree per atom

Entry 4:
Tb2SiNi4Ge3 | GGA-PBE | optimized geometry

a = 4.0587 Å, b = 4.0587 Å, c = 9.6314 Å
α = 90.00°, β = 90.00°, γ = 90.00°
Closest atoms and distances in Å follow each position.
Fractional coordinates of all 10 atoms:
Tb: 0.0000 0.5000 0.2489  6 Ge 3.09-3.14, 8 Ni 3.12-3.16, 2 Si 3.14
Tb: 0.5000 0.0000 0.7511  6 Ge 3.09-3.14, 8 Ni 3.12-3.16, 2 Si 3.14
Si: 0.5000 0.5000 0.0000  4 Ni 2.35
Ni: 0.0000 0.0000 0.5000  4 Ge 2.39
Ni: 0.0000 0.5000 0.8775  3 Ge 2.35-2.37, 2 Si 2.35
Ni: 0.5000 0.0000 0.1225  3 Ge 2.35-2.37, 2 Si 2.35
Ni: 0.5000 0.5000 0.5000  4 Ge 2.39
Ge: 0.0000 0.0000 0.0000  4 Ni 2.35
Ge: 0.0000 0.5000 0.6318  5 Ni 2.37-2.39
Ge: 0.5000 0.0000 0.3682  5 Ni 2.37-2.39

Calculated values
ΔE_f (raw): -0.732 eV per atom
calculated density: 8.358 g cm⁻³
Fermi-level density of states: 6.4 states/eV/f.u.
spin magnetization: 0.00 μB per atom
electronic total energy: -0.21674 hartree per atom

Entry 5:
SmEuDyTh | GGA-PBE | optimized geometry

a = 5.7769 Å, b = 5.7769 Å, c = 5.7769 Å
α = 60.00°, β = 60.00°, γ = 60.00°
Closest atoms and distances in Å follow each position.
Fractional coordinates of all 4 atoms:
Sm: 0.0000 0.0000 0.0000  4 Th 3.54, 4 Eu 3.54
Eu: 0.7500 0.7500 0.7500  4 Dy 3.54, 4 Sm 3.54
Dy: 0.5000 0.5000 0.5000  4 Th 3.54, 4 Eu 3.54
Th: 0.2500 0.2500 0.2500  4 Dy 3.54, 4 Sm 3.54

Calculated values
calculated density: 8.489 g cm⁻³
Fermi-level density of states: 8.3 states/eV/f.u.
spin magnetization: 1.69 μB per atom
electronic total energy: -0.24029 hartree per atom
energy of formation from the pure elements: 0.215 eV per atom

Entry 6:
AsRh2IF | GGA-PBE | optimized geometry

a = 4.7416 Å, b = 4.7416 Å, c = 4.1222 Å
α = 90.00°, β = 90.00°, γ = 90.00°
Closest atoms and distances in Å follow each position.
Fractional coordinates of all 5 atoms:
As: 0.0000 0.0000 0.0000  2 F 2.06
Rh: 0.0000 0.5000 0.0000  2 As 2.37
Rh: 0.5000 0.0000 0.0000  2 As 2.37
I: 0.5000 0.5000 0.5000  8 Rh 3.14, 4 F 3.35
F: 0.0000 0.0000 0.5000  2 As 2.06

Calculated values
ΔE_f (raw): -0.153 eV per atom
calculated density: 7.644 g cm⁻³
Fermi-level density of states: 4.1 states/eV/f.u.
spin magnetization: 0.00 μB per atom
electronic total energy: -0.17302 hartree per atom